Below is a geometry-optimized Ca6Os7 structure, with properties calculated at the PBE level.

Calculated formation energy   0.242 eV per atom
Density of states at the Fermi level   10.641 states/eV/f.u.

Lattice parameters (Å, degrees): 10.785 10.785 10.785 29.01 29.01 29.01
Fractional coordinates of all 13 atoms:
Ca 0.054 0.054 0.054
Ca 0.151 0.151 0.151
Ca 0.340 0.340 0.340
Ca 0.660 0.660 0.660
Ca 0.849 0.849 0.849
Ca 0.946 0.946 0.946
Os 0.087 0.600 0.600
Os 0.400 0.400 0.913
Os 0.400 0.913 0.400
Os 0.500 0.500 0.500
Os 0.600 0.087 0.600
Os 0.600 0.600 0.087
Os 0.913 0.400 0.400